(1)
Li5Pt: optimized geometry, GGA-PBEsol.

It has space group Amm2 (No. 38), with a = 4.419 Å, b = 2.800 Å, c = 15.241 Å, α = 90.00°, β = 90.00° and γ = 90.00°. The distinct sites, in fractional coordinates, are Li at (0.000, 0.000, 0.000), Li at (0.000, 0.000, 0.292), Li at (0.500, 0.000, 0.198), Li at (0.500, 0.000, 0.557), Li at (0.500, 0.000, 0.880) and Pt at (0.000, 0.000, 0.647).

For the excess energy over the best structure of this formula in the dataset, the calculation gives 0.019 eV per atom. Its final energy is -0.2222 Ry per atom. The value obtained for the formation energy is -0.224 eV/atom.

---

(2)
LiPt: optimized geometry, GGA-PBEsol.

It has space group Cm (No. 8), with a = 9.571 Å, b = 2.683 Å, c = 6.713 Å, α = 90.00°, β = 105.06° and γ = 90.00°. The distinct sites, in fractional coordinates, are Li at (0.000, 0.000, 0.000), Li at (0.046, 0.000, 0.634), Li at (0.156, 0.500, 0.352), Pt at (0.233, 0.500, 0.963), Pt at (0.319, 0.000, 0.669) and Pt at (0.376, 0.000, 0.302).

Its final energy is -0.3615 Ry per atom. The value obtained for the formation energy is -0.453 eV/atom.

---

(3)
LiPt3: optimized geometry, GGA-PBEsol.

It has space group Pmm2 (No. 25), with a = 2.721 Å, b = 4.523 Å, c = 4.649 Å, α = 90.00°, β = 90.00° and γ = 90.00°. The distinct sites, in fractional coordinates, are Li at (0.000, 0.000, 0.000), Pt at (0.000, 0.500, 0.383), Pt at (0.500, 0.000, 0.497) and Pt at (0.500, 0.500, 0.883).

Its final energy is -0.4437 Ry per atom. The value obtained for the formation energy is -0.322 eV/atom.

---

(4)
Li4Pt3: optimized geometry, GGA-PBEsol.

It has space group P6/mmm (No. 191), with a = 5.1942 Å, b = 5.1942 Å, c = 4.5630 Å, α = 90.00°, β = 90.00° and γ = 120.00°. The distinct sites, in fractional coordinates, are Li at (0.0000, 0.0000, 0.2329), Li at (0.3333, 0.6667, 0.5000) and Pt at (0.0000, 0.5000, 0.0000).

Its final energy is -0.3351 Ry per atom. The value obtained for the formation energy is -0.451 eV/atom.

---

(5)
Li2Pt: optimized geometry, GGA-PBEsol.

It has space group Cmcm (No. 63), with a = 2.674 Å, b = 13.986 Å, c = 4.297 Å, α = 90.00°, β = 90.00° and γ = 90.00°. The distinct sites, in fractional coordinates, are Li at (0.000, 0.050, 0.250), Li at (0.000, 0.279, 0.750) and Pt at (0.000, 0.383, 0.250).

For the excess energy over the best structure of this formula in the dataset, the calculation gives 0.008 eV per atom. Its final energy is -0.3017 Ry per atom. The value obtained for the formation energy is -0.472 eV/atom.

---

(6)
Li2Pt: optimized geometry, GGA-PBEsol.

It has space group P-3m1 (No. 164), with a = 2.7402 Å, b = 2.7402 Å, c = 6.7593 Å, α = 90.00°, β = 90.00° and γ = 120.00°. The distinct sites, in fractional coordinates, are Li at (0.3333, 0.6667, 0.1942) and Pt at (0.0000, 0.0000, 0.5000).

For the excess energy over the best structure of this formula in the dataset, the calculation gives 0.107 eV per atom. Its final energy is -0.2944 Ry per atom. The value obtained for the formation energy is -0.374 eV/atom.

---

(7)
LiPt3: optimized geometry, GGA-PBEsol.

It has space group C2/m (No. 12), with a = 9.099 Å, b = 2.698 Å, c = 4.694 Å, α = 90.00°, β = 98.54° and γ = 90.00°. The distinct sites, in fractional coordinates, are Li at (0.000, 0.000, 0.000), Pt at (0.000, 0.500, 0.500) and Pt at (0.249, 0.000, 0.752).

Its final energy is -0.4435 Ry per atom. The value obtained for the formation energy is -0.320 eV/atom.

---

(8)
RbLi3Pt: optimized geometry, GGA-PBEsol.

It has space group Pm-3m (No. 221), with a = 4.995 Å, b = 4.995 Å, c = 4.995 Å, α = 90.00°, β = 90.00° and γ = 90.00°. The distinct sites, in fractional coordinates, are Rb at (0.000, 0.000, 0.000), Li at (0.000, 0.500, 0.500) and Pt at (0.500, 0.500, 0.500).

Its final energy is -0.2091 Ry per atom. The value obtained for the formation energy is -0.068 eV/atom.

---

(9)
LiRePt2: optimized geometry, GGA-PBEsol.

It has space group Imm2 (No. 44), with a = 2.677 Å, b = 4.241 Å, c = 10.863 Å, α = 90.00°, β = 90.00° and γ = 90.00°. The distinct sites, in fractional coordinates, are Li at (0.000, 0.000, 0.000), Re at (0.000, 0.500, 0.246), Pt at (0.000, 0.000, 0.546) and Pt at (0.000, 0.500, 0.820).

For the excess energy over the best structure of this formula in the dataset, the calculation gives 0.000 eV per atom. Its final energy is -0.5455 Ry per atom. The value obtained for the formation energy is -0.116 eV/atom.

---

(10)
LiRePt2: optimized geometry, GGA-PBEsol.

It has space group I4/mmm (No. 139), with a = 3.856 Å, b = 3.856 Å, c = 7.480 Å, α = 90.00°, β = 90.00° and γ = 90.00°. The distinct sites, in fractional coordinates, are Li at (0.000, 0.000, 0.000), Re at (0.000, 0.000, 0.500) and Pt at (0.000, 0.500, 0.250).

For the excess energy over the best structure of this formula in the dataset, the calculation gives 0.070 eV per atom. Its final energy is -0.5404 Ry per atom. The value obtained for the formation energy is -0.045 eV/atom.

---

(11)
LiPt2Rh: optimized geometry, GGA-PBEsol.

It has space group P4/mmm (No. 123), with a = 3.797 Å, b = 3.797 Å, c = 3.789 Å, α = 90.00°, β = 90.00° and γ = 90.00°. The distinct sites, in fractional coordinates, are Li at (0.000, 0.000, 0.000), Pt at (0.000, 0.500, 0.500) and Rh at (0.500, 0.500, 0.000).

For the excess energy over the best structure of this formula in the dataset, the calculation gives 0.096 eV per atom. Its final energy is -0.4616 Ry per atom. The value obtained for the formation energy is -0.272 eV/atom.

---

(12)
Li2PtRh: optimized geometry, GGA-PBEsol.

It has space group Cm (No. 8), with a = 9.757 Å, b = 2.635 Å, c = 4.652 Å, α = 90.00°, β = 117.48° and γ = 90.00°. The distinct sites, in fractional coordinates, are Li at (0.000, 0.000, 0.000), Li at (0.237, 0.000, 0.927), Pt at (0.490, 0.000, 0.482) and Rh at (0.251, 0.500, 0.447).

For the excess energy over the best structure of this formula in the dataset, the calculation gives 0.013 eV per atom. Its final energy is -0.3742 Ry per atom. The value obtained for the formation energy is -0.332 eV/atom.

---

(13)
Li2PtRh: optimized geometry, GGA-PBEsol.

It has space group C2/m (No. 12), with a = 5.307 Å, b = 8.571 Å, c = 2.632 Å, α = 90.00°, β = 117.90° and γ = 90.00°. The distinct sites, in fractional coordinates, are Li at (0.250, 0.250, 0.000), Pt at (0.000, 0.000, 0.500) and Rh at (0.000, 0.500, 0.500).

For the excess energy over the best structure of this formula in the dataset, the calculation gives 0.000 eV per atom. Its final energy is -0.3752 Ry per atom. The value obtained for the formation energy is -0.345 eV/atom.

---

(14)
Li2PtRh: optimized geometry, GGA-PBEsol.

It has space group Cmmm (No. 65), with a = 2.726 Å, b = 4.528 Å, c = 8.606 Å, α = 90.00°, β = 90.00° and γ = 90.00°. The distinct sites, in fractional coordinates, are Li at (0.000, 0.000, 0.247), Pt at (0.000, 0.500, 0.500) and Rh at (0.000, 0.500, 0.000).

For the excess energy over the best structure of this formula in the dataset, the calculation gives 0.026 eV per atom. Its final energy is -0.3732 Ry per atom. The value obtained for the formation energy is -0.319 eV/atom.

---

(15)
LiPt2Rh: optimized geometry, GGA-PBEsol.

It has space group P2/m (No. 10), with a = 4.667 Å, b = 2.679 Å, c = 4.704 Å, α = 90.00°, β = 110.17° and γ = 90.00°. The distinct sites, in fractional coordinates, are Li at (0.000, 0.000, 0.000), Pt at (0.500, 0.000, 0.500), Pt at (0.500, 0.500, 0.000) and Rh at (0.000, 0.500, 0.500).

For the excess energy over the best structure of this formula in the dataset, the calculation gives 0.081 eV per atom. Its final energy is -0.4627 Ry per atom. The value obtained for the formation energy is -0.288 eV/atom.

---

(16)
Li2PtRh: optimized geometry, GGA-PBEsol.

It has space group Immm (No. 71), with a = 2.714 Å, b = 4.542 Å, c = 8.585 Å, α = 90.00°, β = 90.00° and γ = 90.00°. The distinct sites, in fractional coordinates, are Li at (0.000, 0.000, 0.249), Pt at (0.000, 0.500, 0.000) and Rh at (0.000, 0.500, 0.500).

For the excess energy over the best structure of this formula in the dataset, the calculation gives 0.002 eV per atom. Its final energy is -0.3750 Ry per atom. The value obtained for the formation energy is -0.343 eV/atom.

---

(17)
Li2PtRh: optimized geometry, GGA-PBEsol.

It has space group Pmmm (No. 47), with a = 2.716 Å, b = 4.292 Å, c = 4.541 Å, α = 90.00°, β = 90.00° and γ = 90.00°. The distinct sites, in fractional coordinates, are Li at (0.000, 0.000, 0.000), Li at (0.500, 0.000, 0.500), Pt at (0.000, 0.500, 0.500) and Rh at (0.500, 0.500, 0.000).

For the excess energy over the best structure of this formula in the dataset, the calculation gives 0.001 eV per atom. Its final energy is -0.3751 Ry per atom. The value obtained for the formation energy is -0.345 eV/atom.

---

(18)
LiPt2Rh: optimized geometry, GGA-PBEsol.

It has space group Pmmm (No. 47), with a = 2.689 Å, b = 3.869 Å, c = 5.312 Å, α = 90.00°, β = 90.00° and γ = 90.00°. The distinct sites, in fractional coordinates, are Li at (0.000, 0.000, 0.000), Pt at (0.500, 0.500, 0.248) and Rh at (0.000, 0.000, 0.500).

For the excess energy over the best structure of this formula in the dataset, the calculation gives 0.145 eV per atom. Its final energy is -0.4580 Ry per atom. The value obtained for the formation energy is -0.223 eV/atom.

---

(19)
LiPt2Rh: optimized geometry, GGA-PBEsol.

It has space group C2/m (No. 12), with a = 8.957 Å, b = 2.685 Å, c = 4.669 Å, α = 90.00°, β = 98.51° and γ = 90.00°. The distinct sites, in fractional coordinates, are Li at (0.000, 0.000, 0.000), Pt at (0.248, 0.000, 0.749) and Rh at (0.000, 0.500, 0.500).

For the excess energy over the best structure of this formula in the dataset, the calculation gives 0.151 eV per atom. Its final energy is -0.4576 Ry per atom. The value obtained for the formation energy is -0.217 eV/atom.

---

(20)
Li2PtRh: optimized geometry, GGA-PBEsol.

It has space group I4/mmm (No. 139), with a = 3.673 Å, b = 3.673 Å, c = 7.932 Å, α = 90.00°, β = 90.00° and γ = 90.00°. The distinct sites, in fractional coordinates, are Li at (0.000, 0.500, 0.250), Pt at (0.000, 0.000, 0.000) and Rh at (0.000, 0.000, 0.500).

For the excess energy over the best structure of this formula in the dataset, the calculation gives 0.156 eV per atom. Its final energy is -0.3637 Ry per atom. The value obtained for the formation energy is -0.190 eV/atom.